Mn2BrO after structural relaxation, computed with PBE+U.

Cell lengths 5.580, 5.580, 10.737 Å; angles 90.00, 90.00, 90.00 degrees
Space group I-42d (No. 122)
Asymmetric unit:
Mn: 0.132 0.250 0.125
Br: 0.000 0.000 0.500
O: 0.000 0.000 0.000

Computed properties:
Calculated density ... 4.088 Mg/m³
Final energy ... -99.27 eV/cell